Below is a relaxed structure of ZrSnAs3, with properties calculated at the PBE level.

The calculation puts the total energy at -4.460 eV/atom. The formation energy from the elements is 0.84 eV per atom. The density of states at the Fermi level is 4.43 states/eV per cell.

a b c (Å): 5.1069 5.1069 5.1069
angles (deg): 90.00 90.00 90.00
Space group Pm-3m (No. 221)
Asymmetric unit:
Zr 0.0000 0.0000 0.0000 [1 per cell]
Sn 0.5000 0.5000 0.5000 [1 per cell]
As 0.0000 0.5000 0.5000 [3 per cell]